LaSc3Ga: single point on PBEsol structure, SCAN.

DOS at the Fermi energy   4.51 states/eV per cell
V   26.29 Å³/atom
Raw total energy   -19.466 eV/atom
Magnetic moment   0.0 Bohr magnetons per cell

Cell lengths 5.085, 5.085, 5.085 Å; angles 90.00, 90.00, 90.00 degrees
Fractional coordinates of all 5 atoms:
La1 0.000 0.000 0.000
Sc1 0.000 0.000 0.500
Sc2 0.000 0.500 0.000
Sc3 0.500 0.000 0.000
Ga1 0.500 0.500 0.500